The following is a GGA-PBE calculation of an optimized crystal structure of YIO, from Alexandria.

Its crystal system is trigonal. The calculated total energy comes out at -6.748 eV/atom. As for the space-group type: No. 156.

Cell: 3.8007 3.8007 5.9698 Å, 90.00 90.00 120.00°
With the nearest neighbours (Å) after each atom.
Fractional positions:
Y  0.6667  0.3333  0.4349  3 O 2.24
I  0.0000  0.0000  0.0517  3 Y 3.17, 3 O 3.52
O  0.3333  0.6667  0.5134  3 Y 2.24

=====

The following is a GGA-PBE calculation of an optimized crystal structure of YI3O9, from Alexandria.

Its crystal system is monoclinic. The calculated total energy comes out at -5.276 eV/atom. As for the space-group type: No. 14.

Cell: 6.2695 8.8249 16.8154 Å, 65.29 90.00 90.00°
With the nearest neighbours (Å) after each atom.
Fractional positions:
I  0.3523  0.1480  0.5174  3 O 1.84-1.86
O  0.6804  0.1525  0.7569  1 I 1.84
I  0.4126  0.0855  0.8024  3 O 1.83-1.84
O  0.9775  0.1260  0.1109  1 I 1.84
I  0.0874  0.0855  0.3024  3 O 1.83-1.84
O  0.9709  0.4344  0.6865  1 I 1.84
O  0.5291  0.4344  0.1865  1 I 1.84
O  0.5225  0.1260  0.6109  1 I 1.84
O  0.5145  0.1346  0.1337  1 I 1.84
O  0.5600  0.1488  0.4382  1 I 1.86
O  0.4709  0.5656  0.8135  1 I 1.84
I  0.9126  0.9145  0.6976  3 O 1.83-1.84
O  0.9246  0.8366  0.6123  1 I 1.83
I  0.2968  0.5712  0.1410  3 O 1.82-1.85
O  0.0754  0.1634  0.3877  1 I 1.83
O  0.5918  0.5949  0.3294  1 I 1.85
I  0.2032  0.5712  0.6410  3 O 1.82-1.85
O  0.4400  0.8512  0.5618  1 I 1.86
O  0.3483  0.6143  0.0274  1 I 1.82
I  0.7968  0.4288  0.3590  3 O 1.82-1.85
Y  0.7731  0.3501  0.1095  7 O 2.27-2.40
O  0.4775  0.8740  0.3891  1 I 1.84
O  0.1580  0.3765  0.9747  1 I 1.84
O  0.5754  0.8366  0.1123  1 I 1.83
O  0.8196  0.1525  0.2569  1 I 1.84
Y  0.2731  0.6499  0.3905  7 O 2.27-2.40
O  0.8483  0.3857  0.4726  1 I 1.82
O  0.4855  0.8654  0.8663  1 I 1.84
O  0.6517  0.3857  0.9726  1 I 1.82
O  0.0225  0.8740  0.8891  1 I 1.84
Y  0.7269  0.3501  0.6095  7 O 2.27-2.40
O  0.4246  0.1634  0.8877  1 I 1.83
O  0.3420  0.3765  0.4747  1 I 1.84
O  0.8420  0.6235  0.0253  1 I 1.84
O  0.0918  0.4051  0.1706  1 I 1.85
I  0.5874  0.9145  0.1976  3 O 1.83-1.84
O  0.3196  0.8475  0.2431  1 I 1.84
O  0.1517  0.6143  0.5274  1 I 1.82
O  0.9855  0.1346  0.6337  1 I 1.84
Y  0.2269  0.6499  0.8905  7 O 2.27-2.40
I  0.6477  0.8520  0.4826  3 O 1.84-1.86
O  0.0600  0.8512  0.0618  1 I 1.86
O  0.9082  0.5949  0.8294  1 I 1.85
I  0.1477  0.1480  0.0174  3 O 1.84-1.86
I  0.7032  0.4288  0.8590  3 O 1.82-1.85
O  0.4082  0.4051  0.6706  1 I 1.85
I  0.8523  0.8520  0.9826  3 O 1.84-1.86
O  0.0145  0.8654  0.3663  1 I 1.84
O  0.0291  0.5656  0.3135  1 I 1.84
O  0.9400  0.1488  0.9382  1 I 1.86
O  0.1804  0.8475  0.7431  1 I 1.84
O  0.6580  0.6235  0.5253  1 I 1.84

=====

The following is a GGA-PBE calculation of an optimized crystal structure of Y3IO7, from Alexandria.

Its crystal system is orthorhombic. The calculated total energy comes out at -7.558 eV/atom. As for the space-group type: No. 20.

Cell: 6.6115 6.6115 7.6025 Å, 90.00 90.00 108.39°
With the nearest neighbours (Å) after each atom.
Fractional positions:
O  0.9105  0.6512  0.0196  1 I 2.22, 3 Y 2.26-2.39
O  0.9156  0.0844  0.2500  2 I 2.11
Y  0.9980  0.4703  0.2440  7 O 2.26-2.50
O  0.3614  0.6386  0.7500  4 Y 2.26-2.43
Y  0.5297  0.0020  0.2560  7 O 2.26-2.50
O  0.3122  0.0665  0.0405  1 I 1.97
O  0.6512  0.9105  0.9804  1 I 2.22, 3 Y 2.26-2.39
O  0.6386  0.3614  0.2500  4 Y 2.26-2.43
O  0.6323  0.3677  0.7500  4 Y 2.34-2.39
O  0.0665  0.3122  0.9595  1 I 1.97
I  0.9960  0.9960  0.5000  4 O 1.97-2.11
Y  0.4643  0.4643  0.5000  6 O 2.36-2.43
Y  0.5357  0.5357  0.0000  6 O 2.36-2.43
O  0.3677  0.6323  0.2500  4 Y 2.34-2.39
O  0.9335  0.6878  0.4595  1 I 1.97
O  0.3488  0.0895  0.4804  1 I 2.22, 3 Y 2.26-2.39
O  0.0895  0.3488  0.5196  1 I 2.22, 3 Y 2.26-2.39
Y  0.4703  0.9980  0.7560  7 O 2.26-2.50
O  0.6878  0.9335  0.5405  1 I 1.97
O  0.0844  0.9156  0.7500  2 I 2.11
Y  0.0020  0.5297  0.7440  7 O 2.26-2.50
I  0.0040  0.0040  0.0000  4 O 1.97-2.11

=====

The following is a GGA-PBE calculation of an optimized crystal structure of Y2IO8, from Alexandria.

Its crystal system is monoclinic. The calculated total energy comes out at -6.398 eV/atom. As for the space-group type: No. 12.

Cell: 4.8137 5.9675 5.9675 Å, 72.80 72.43 72.43°
With the nearest neighbours (Å) after each atom.
Fractional positions:
O  0.7410  0.9465  0.3129  1 I 1.90
O  0.7289  0.4268  0.4268  1 O 2.12, 2 Y 2.30-2.33
Y  0.6325  0.6800  0.6800  7 O 2.27-2.41
O  0.2126  0.1246  0.1246  1 I 1.84
O  0.2590  0.6871  0.0535  1 I 1.90
Y  0.3675  0.3200  0.3200  7 O 2.27-2.41
O  0.2590  0.0535  0.6871  1 I 1.90
O  0.2711  0.5732  0.5732  1 O 2.12, 2 Y 2.30-2.33
I  0.0000  0.0000  0.0000  6 O 1.84-1.90
O  0.7410  0.3129  0.9465  1 I 1.90
O  0.7874  0.8754  0.8754  1 I 1.84

=====

The following is a GGA-PBE calculation of an optimized crystal structure of YIO, from Alexandria.

Its crystal system is tetragonal. The calculated total energy comes out at -7.022 eV/atom. As for the space-group type: No. 129.

Cell: 3.9589 3.9589 10.0960 Å, 90.00 90.00 90.00°
With the nearest neighbours (Å) after each atom.
Fractional positions:
I  0.5000  0.0000  0.7002  4 Y 3.40, 4 O 3.62
O  0.0000  0.0000  0.0000  4 Y 2.26
Y  0.5000  0.0000  0.1088  4 O 2.26
O  0.5000  0.5000  0.0000  4 Y 2.26
I  0.0000  0.5000  0.2998  4 Y 3.40, 4 O 3.62
Y  0.0000  0.5000  0.8912  4 O 2.26

=====

The following is a GGA-PBE calculation of an optimized crystal structure of Y2IO, from Alexandria.

As for the relative energy among the computed polymorphs: 0 meV/atom. Its crystal system is tetragonal. As for the space-group type: No. 122.

Cell: 6.2572 6.2572 7.1342 Å, 63.99 63.99 90.00°
With the nearest neighbours (Å) after each atom.
Fractional positions:
Y  0.3750  0.4868  0.7500  2 O 2.27
Y  0.5132  0.1250  0.2500  2 O 2.27
O  0.2500  0.7500  0.5000  4 Y 2.27
I  0.7500  0.2500  0.5000  4 Y 3.09
O  0.5000  0.5000  0.0000  4 Y 2.27
Y  0.2368  0.6250  0.2500  2 O 2.27
Y  0.8750  0.7632  0.7500  2 O 2.27
I  0.0000  0.0000  0.0000  4 Y 3.09

=====

The following is a GGA-PBE calculation of an optimized crystal structure of YI2O6, from Alexandria.

Its crystal system is monoclinic. The calculated total energy comes out at -5.411 eV/atom. As for the space-group type: No. 15.

Cell: 5.9879 7.6047 7.6047 Å, 102.97 81.84 81.84°
With the nearest neighbours (Å) after each atom.
Fractional positions:
O  0.4604  0.2870  0.5100  1 I 1.83
O  0.6142  0.9179  0.8181  1 I 2.05, 1 Y 2.30
I  0.2101  0.1930  0.4451  2 O 1.83-1.89
O  0.9604  0.5100  0.2870  1 I 1.83
O  0.6611  0.6328  0.0699  1 I 1.89
Y  0.2500  0.0867  0.9133  6 O 2.25-2.31
Y  0.7500  0.9133  0.0867  6 O 2.25-2.31
O  0.8858  0.1819  0.0821  1 I 2.05, 1 Y 2.30
O  0.1611  0.0699  0.6328  1 I 1.89
I  0.7899  0.8070  0.5549  2 O 1.83-1.89
O  0.1142  0.8181  0.9179  1 I 2.05, 1 Y 2.30
O  0.3858  0.0821  0.1819  1 I 2.05, 1 Y 2.30
O  0.5396  0.7130  0.4900  1 I 1.83
I  0.7101  0.4451  0.1930  2 O 1.83-1.89
I  0.2899  0.5549  0.8070  2 O 1.83-1.89
O  0.0396  0.4900  0.7130  1 I 1.83
O  0.3389  0.3672  0.9301  1 I 1.89
O  0.8389  0.9301  0.3672  1 I 1.89

=====

The following is a GGA-PBE calculation of an optimized crystal structure of YIO5, from Alexandria.

Its crystal system is monoclinic. The calculated total energy comes out at -6.113 eV/atom. As for the space-group type: No. 15.

Cell: 5.4995 5.4995 7.6845 Å, 69.54 69.54 71.50°
With the nearest neighbours (Å) after each atom.
Fractional positions:
O  0.0870  0.9130  0.7500  2 I 2.00
I  0.0000  0.0000  0.5000  6 O 1.83-2.00
O  0.2821  0.6999  0.4722  1 I 1.89
Y  0.5382  0.4618  0.2500  7 O 2.21-2.43
O  0.9130  0.0870  0.2500  2 I 2.00
O  0.7864  0.7604  0.1158  1 I 1.83
O  0.3001  0.7179  0.0278  1 I 1.89
I  0.0000  0.0000  0.0000  6 O 1.83-2.00
O  0.2396  0.2136  0.3842  1 I 1.83
Y  0.4618  0.5382  0.7500  7 O 2.21-2.43
O  0.7604  0.7864  0.6158  1 I 1.83
O  0.6999  0.2821  0.9722  1 I 1.89
O  0.7179  0.3001  0.5278  1 I 1.89
O  0.2136  0.2396  0.8842  1 I 1.83